(1)
Crystalline Ac3ZnCu3 at its relaxed geometry. Source: Alexandria via LeMat-Bulk, functional PBE-GGA. Values from VASP.

Output
DFT total energy   -3.86 eV/atom
Volume   356.2 Å³ per cell
SG   No. 63
Energy above the most stable polymorph in this dataset   0 meV per atom
DFT formation energy   -160 meV per atom

Geometry as Quantum ESPRESSO input:
```
&SYSTEM
  ibrav = 0, nat = 14, ntyp = 3
/
ATOMIC_SPECIES
Ac 227.00 Ac.upf
Zn 65.41 Zn.upf
Cu 63.55 Cu.upf
CELL_PARAMETERS angstrom
-4.0088 1.4660 -1.2570
2.6743 -3.1600 -4.3385
-5.9933 -12.0384 5.0739
ATOMIC_POSITIONS crystal
Ac 0.2174 0.4347 0.8970
Ac 0.7826 0.5653 0.1030
Ac 0.2174 0.4347 0.6030
Ac 0.7826 0.5653 0.3970
Ac 0.5002 0.0003 0.7500
Ac 0.4998 0.9997 0.2500
Zn 0.5000 0.0000 0.0000
Zn 0.5000 0.0000 0.5000
Cu 0.9323 0.8646 0.9131
Cu 0.0677 0.1354 0.0869
Cu 0.9323 0.8646 0.5869
Cu 0.0677 0.1354 0.4131
Cu 0.8023 0.6046 0.7500
Cu 0.1977 0.3954 0.2500
```

(2)
Crystalline Li4Ga3Pd2 at its relaxed geometry. Source: Alexandria via LeMat-Bulk, functional PBE-GGA. Values from VASP.

Output
DFT total energy   -3.51 eV/atom
Volume   131.0 Å³ per cell
SG   No. 2
Energy above the most stable polymorph in this dataset   16 meV per atom
DFT formation energy   -495 meV per atom

Geometry as Quantum ESPRESSO input:
```
&SYSTEM
  ibrav = 0, nat = 9, ntyp = 3
/
ATOMIC_SPECIES
Li 6.94 Li.upf
Ga 69.72 Ga.upf
Pd 106.42 Pd.upf
CELL_PARAMETERS angstrom
4.8839 0.3312 1.0989
2.8366 4.1431 0.4323
4.3034 1.5719 7.6891
ATOMIC_POSITIONS crystal
Li 0.3336 0.3264 0.9919
Li 0.8713 0.5626 0.6690
Li 0.1287 0.4374 0.3310
Li 0.6664 0.6736 0.0081
Ga 0.5517 0.2284 0.6603
Ga 0.0000 0.0000 0.0000
Ga 0.4483 0.7716 0.3397
Pd 0.8060 0.1115 0.3236
Pd 0.1940 0.8885 0.6764
```

(3)
Crystalline SrSiW at its relaxed geometry. Source: Alexandria via LeMat-Bulk, functional PBE-GGA. Values from VASP.

Output
DFT total energy   -6.85 eV/atom
Volume   146.2 Å³ per cell
Raw formation energy   -160 meV/atom
SG   No. 129

Geometry as Quantum ESPRESSO input:
```
&SYSTEM
  ibrav = 0, nat = 6, ntyp = 3
/
ATOMIC_SPECIES
Si 28.09 Si.upf
Sr 87.62 Sr.upf
W 183.84 W.upf
CELL_PARAMETERS angstrom
3.9593 0.0000 0.0000
0.0000 3.9593 0.0000
0.0000 0.0000 9.3272
ATOMIC_POSITIONS crystal
Si 0.5000 0.0000 0.6793
Si 0.0000 0.5000 0.3207
Sr 0.5000 0.0000 0.1740
Sr 0.0000 0.5000 0.8260
W 0.5000 0.5000 0.5000
W 0.0000 0.0000 0.5000
```

(4)
Crystalline LiY4Se6 at its relaxed geometry. Source: Alexandria via LeMat-Bulk, functional PBE-GGA. Values from VASP.

Output
DFT total energy   -6.12 eV/atom
Volume   509.8 Å³ per cell
Raw formation energy   -1693 meV/atom
SG   No. 167

Geometry as Quantum ESPRESSO input:
```
&SYSTEM
  ibrav = 0, nat = 22, ntyp = 3
/
ATOMIC_SPECIES
Li 6.94 Li.upf
Y 88.91 Y.upf
Se 78.96 Se.upf
CELL_PARAMETERS angstrom
7.9891 -0.1168 0.0507
-0.0503 7.9898 0.0507
0.1178 0.1168 7.9884
ATOMIC_POSITIONS crystal
Li 0.5000 0.5000 0.5000
Li 0.0000 0.0000 0.0000
Y 0.3604 0.1396 0.2500
Y 0.8604 0.2500 0.3604
Y 0.2500 0.6396 0.1396
Y 0.2500 0.2500 0.7500
Y 0.7500 0.7500 0.2500
Y 0.7500 0.3604 0.8604
Y 0.1396 0.7500 0.6396
Y 0.6396 0.8604 0.7500
Se 0.6838 0.0596 0.0849
Se 0.0849 0.3162 0.0596
Se 0.5849 0.4404 0.1838
Se 0.9404 0.0849 0.6838
Se 0.5596 0.1838 0.5849
Se 0.1838 0.4151 0.4404
Se 0.8162 0.5849 0.5596
Se 0.4404 0.8162 0.4151
Se 0.0596 0.9151 0.3162
Se 0.4151 0.5596 0.8162
Se 0.9151 0.6838 0.9404
Se 0.3162 0.9404 0.9151
```

(5)
Crystalline HoBN at its relaxed geometry. Source: Alexandria via LeMat-Bulk, functional PBE-GGA. Values from VASP.

Output
DFT total energy   -7.64 eV/atom
Volume   75.0 Å³ per cell
Raw formation energy   -1110 meV/atom
SG   No. 12

Geometry as Quantum ESPRESSO input:
```
&SYSTEM
  ibrav = 0, nat = 6, ntyp = 3
/
ATOMIC_SPECIES
B 10.81 B.upf
N 14.01 N.upf
Ho 164.93 Ho.upf
CELL_PARAMETERS angstrom
-1.0257 3.3491 -0.1398
-2.2155 -0.6124 2.6467
3.5548 2.1809 4.6184
ATOMIC_POSITIONS crystal
B 0.8645 0.8645 0.5955
B 0.1355 0.1355 0.4045
N 0.7904 0.7904 0.8291
N 0.2096 0.2096 0.1709
Ho 0.3041 0.3041 0.7879
Ho 0.6959 0.6959 0.2121
```

(6)
Crystalline GdDyAs at its relaxed geometry. Source: Alexandria via LeMat-Bulk, functional PBE-GGA. Values from VASP.

Output
DFT total energy   -8.66 eV/atom
Volume   88.5 Å³ per cell
SG   No. 156
DFT formation energy   -879 meV per atom

Geometry as Quantum ESPRESSO input:
```
&SYSTEM
  ibrav = 0, nat = 3, ntyp = 3
/
ATOMIC_SPECIES
As 74.92 As.upf
Gd 157.25 Gd.upf
Dy 162.50 Dy.upf
CELL_PARAMETERS angstrom
6.4921 0.0000 0.0000
0.0000 3.9666 0.0000
0.0000 -1.9833 3.4352
ATOMIC_POSITIONS crystal
As 0.0017 0.0000 0.0000
Gd 0.7363 0.6667 0.3333
Dy 0.2620 0.3333 0.6667
```

(7)
Crystalline Na10B17C3 at its relaxed geometry. Source: Alexandria via LeMat-Bulk, functional PBE-GGA. Values from VASP.

Output
DFT total energy   -4.93 eV/atom
Volume   327.7 Å³ per cell
SG   No. 38
Energy above the most stable polymorph in this dataset   10 meV per atom
DFT formation energy   215 meV per atom

Geometry as Quantum ESPRESSO input:
```
&SYSTEM
  ibrav = 0, nat = 30, ntyp = 3
/
ATOMIC_SPECIES
Na 22.99 Na.upf
B 10.81 B.upf
C 12.01 C.upf
CELL_PARAMETERS angstrom
13.4474 -0.1343 0.0000
-13.1241 2.9339 0.0000
0.0000 0.0000 8.6942
ATOMIC_POSITIONS crystal
Na 0.2002 0.7998 0.9996
Na 0.2002 0.7998 0.5004
Na 0.3996 0.6004 0.0003
Na 0.3996 0.6004 0.4997
Na 0.9999 0.0001 0.0008
Na 0.9999 0.0001 0.4992
Na 0.5999 0.4001 0.0010
Na 0.5999 0.4001 0.4990
Na 0.8001 0.1999 0.9985
Na 0.8001 0.1999 0.5015
B 0.7314 0.2686 0.2500
B 0.2691 0.7309 0.7500
B 0.7289 0.2711 0.7500
B 0.2722 0.7278 0.2500
B 0.4673 0.5327 0.7500
B 0.9247 0.0753 0.7500
B 0.4621 0.5379 0.2500
B 0.5272 0.4728 0.2500
B 0.0727 0.9273 0.7500
B 0.5302 0.4698 0.7500
B 0.0656 0.9344 0.2500
B 0.1290 0.8710 0.2500
B 0.1385 0.8615 0.7500
B 0.6691 0.3309 0.2500
B 0.3347 0.6653 0.2500
B 0.3352 0.6648 0.7500
B 0.8741 0.1259 0.2500
C 0.9326 0.0674 0.2500
C 0.6693 0.3307 0.7500
C 0.8665 0.1335 0.7500
```

(8)
Crystalline ZrBeSi at its relaxed geometry. Source: Alexandria via LeMat-Bulk, functional PBE-GGA. Values from VASP.

Output
DFT total energy   -6.04 eV/atom
Volume   44.9 Å³ per cell
Raw formation energy   -143 meV/atom
SG   No. 107
Energy above the most stable polymorph in this dataset   608 meV per atom

Geometry as Quantum ESPRESSO input:
```
&SYSTEM
  ibrav = 0, nat = 3, ntyp = 3
/
ATOMIC_SPECIES
Be 9.01 Be.upf
Si 28.09 Si.upf
Zr 91.22 Zr.upf
CELL_PARAMETERS angstrom
5.2959 -0.0089 0.0000
3.5514 3.9286 0.0000
-4.4237 -1.9598 2.1533
ATOMIC_POSITIONS crystal
Be 0.9726 0.9726 0.0000
Si 0.3651 0.3651 0.0000
Zr 0.6623 0.6623 0.0000
```

(9)
Crystalline ReAgSb2 at its relaxed geometry. Source: Alexandria via LeMat-Bulk, functional PBE-GGA. Values from VASP.

Output
DFT total energy   -5.17 eV/atom
Volume   236.1 Å³ per cell
Raw formation energy   713 meV/atom
SG   No. 122
Energy above the most stable polymorph in this dataset   391 meV per atom

Geometry as Quantum ESPRESSO input:
```
&SYSTEM
  ibrav = 0, nat = 8, ntyp = 3
/
ATOMIC_SPECIES
Re 186.21 Re.upf
Ag 107.87 Ag.upf
Sb 121.76 Sb.upf
CELL_PARAMETERS angstrom
-4.1824 -4.6136 -1.2466
4.0558 -4.3027 2.3169
-2.3932 -3.7855 5.8628
ATOMIC_POSITIONS crystal
Re 0.0000 0.0000 0.0000
Re 0.7500 0.2500 0.5000
Ag 0.5000 0.5000 0.0000
Ag 0.2500 0.7500 0.5000
Sb 0.6546 0.1250 0.2500
Sb 0.0954 0.6250 0.2500
Sb 0.3750 0.3454 0.7500
Sb 0.8750 0.9046 0.7500
```

(10)
Crystalline Y8As3PtSe4 at its relaxed geometry. Source: Alexandria via LeMat-Bulk, functional PBE-GGA. Values from VASP.

Output
DFT total energy   -7.00 eV/atom
Volume   394.8 Å³ per cell
Raw formation energy   -1644 meV/atom
SG   No. 166

Geometry as Quantum ESPRESSO input:
```
&SYSTEM
  ibrav = 0, nat = 16, ntyp = 4
/
ATOMIC_SPECIES
Y 88.91 Y.upf
As 74.92 As.upf
Pt 195.08 Pt.upf
Se 78.96 Se.upf
CELL_PARAMETERS angstrom
8.2125 0.0000 0.0000
0.0000 8.2554 0.0247
-4.1062 -4.1020 5.8102
ATOMIC_POSITIONS crystal
Y 0.2442 0.7380 0.9937
Y 0.2443 0.7381 0.4885
Y 0.2541 0.2623 0.5082
Y 0.7495 0.7380 0.9937
Y 0.2505 0.2620 0.0063
Y 0.7459 0.7377 0.4918
Y 0.7557 0.2619 0.5115
Y 0.7558 0.2620 0.0063
As 0.5000 0.5000 0.0000
As 0.5000 0.5000 0.5000
As 0.0000 0.5000 0.5000
Pt 0.0000 0.5000 0.0000
Se 0.5000 0.0000 0.0000
Se 0.5000 0.0000 0.5000
Se 0.0000 0.0000 0.0000
Se 0.0000 0.0000 0.5000
```

(11)
Crystalline SnRuNF2 at its relaxed geometry. Source: Alexandria via LeMat-Bulk, functional PBE-GGA. Values from VASP.

Output
DFT total energy   -5.60 eV/atom
Volume   72.8 Å³ per cell
Raw formation energy   -532 meV/atom
SG   No. 123
Energy above the most stable polymorph in this dataset   0 meV per atom

Geometry as Quantum ESPRESSO input:
```
&SYSTEM
  ibrav = 0, nat = 5, ntyp = 4
/
ATOMIC_SPECIES
Ru 101.07 Ru.upf
N 14.01 N.upf
Sn 118.71 Sn.upf
F 19.00 F.upf
CELL_PARAMETERS angstrom
-2.1448 -1.9251 3.3243
0.2824 -3.8760 -2.0624
3.2751 -0.6771 1.7210
ATOMIC_POSITIONS crystal
Ru 0.0000 0.0000 0.0000
N 0.0000 0.0000 0.5000
Sn 0.5000 0.5000 0.5000
F 0.0000 0.5000 0.0000
F 0.5000 0.0000 0.0000
```